# 1
An optimized crystal structure of DyTmAg5, computed with PBE-GGA.

Unit cell a=4.936 b=4.936 c=6.585 alpha=90.00 beta=90.00 gamma=90.00
Fractional positions:
Dy  0.000  0.000  0.000
Tm  0.500  0.500  0.500
Ag  0.000  0.500  0.265
Ag  0.000  0.500  0.735
Ag  0.500  0.000  0.265
Ag  0.500  0.000  0.735
Ag  0.500  0.500  0.000

E_tot in eV per atom: -3.398
Total magnetic moment in μB/f.u.: 0.0
SG: P4/mmm, No. 123

# 2
An optimized crystal structure of LaHg2P2Pt7, computed with PBE-GGA.

Unit cell a=4.037 b=4.037 c=14.291 alpha=95.01 beta=95.01 gamma=90.00
Fractional positions:
La  0.000  0.000  0.000
Hg  0.105  0.105  0.408
Hg  0.895  0.895  0.592
P  0.425  0.425  0.746
P  0.575  0.575  0.254
Pt  0.049  0.549  0.166
Pt  0.398  0.398  0.588
Pt  0.451  0.951  0.834
Pt  0.500  0.500  0.000
Pt  0.549  0.049  0.166
Pt  0.602  0.602  0.412
Pt  0.951  0.451  0.834

E_tot in eV per atom: -5.363
Total magnetic moment in μB/f.u.: 0.0
SG: C2/m, No. 12

# 3
An optimized crystal structure of Nd3Ho2Tm6Zr, computed with PBE-GGA.

Unit cell a=6.094 b=6.094 c=11.571 alpha=95.03 beta=95.03 gamma=119.96
Fractional positions:
Nd  0.000  0.000  0.000
Nd  0.334  0.666  0.000
Nd  0.666  0.334  0.000
Ho  0.167  0.833  0.500
Ho  0.833  0.167  0.500
Tm  0.094  0.420  0.259
Tm  0.254  0.254  0.741
Tm  0.420  0.094  0.259
Tm  0.580  0.906  0.741
Tm  0.746  0.746  0.259
Tm  0.906  0.580  0.741
Zr  0.500  0.500  0.500

E_tot in eV per atom: -4.858
Total magnetic moment in μB/f.u.: 0.0
SG: C2/m, No. 12

# 4
An optimized crystal structure of TePI2F, computed with PBE-GGA.

Unit cell a=5.996 b=5.996 c=4.207 alpha=90.00 beta=90.00 gamma=90.00
Fractional positions:
Te  0.000  0.000  0.000
P  0.500  0.500  0.000
I  0.000  0.500  0.500
I  0.500  0.000  0.500
F  0.000  0.000  0.500

Excess energy over the best structure of this formula in the dataset in meV per atom: 245
Total magnetic moment in μB/f.u.: 1.6
SG: P4/mmm, No. 123
Raw formation energy in eV per formula unit: 2.48

# 5
An optimized crystal structure of LiCaP, computed with PBE-GGA.

Unit cell a=9.794 b=4.378 c=6.538 alpha=90.00 beta=90.00 gamma=90.00
Fractional positions:
Li  0.063  0.250  0.058
Li  0.437  0.750  0.558
Li  0.563  0.250  0.442
Li  0.937  0.750  0.942
Ca  0.152  0.250  0.523
Ca  0.348  0.750  0.023
Ca  0.652  0.250  0.977
Ca  0.848  0.750  0.477
P  0.100  0.750  0.247
P  0.400  0.250  0.747
P  0.600  0.750  0.253
P  0.900  0.250  0.753

E_tot in eV per atom: -4.057
Total magnetic moment in μB/f.u.: 0.0
SG: Pnma, No. 62

# 6
An optimized crystal structure of LiPmGaIr, computed with PBE-GGA.

Unit cell a=3.604 b=4.794 c=4.801 alpha=90.00 beta=90.00 gamma=90.00
Fractional positions:
Li  0.000  0.000  0.000
Pm  0.500  0.000  0.500
Ga  0.000  0.500  0.500
Ir  0.000  0.500  0.000

Excess energy over the best structure of this formula in the dataset in meV per atom: 526
Total magnetic moment in μB/f.u.: 0.0
SG: Pmmm, No. 47

# 7
An optimized crystal structure of Y3BSe6, computed with PBE-GGA.

Unit cell a=8.823 b=8.823 c=6.580 alpha=90.00 beta=90.00 gamma=101.86
Fractional positions:
Y  0.098  0.902  0.500
Y  0.218  0.418  0.611
Y  0.418  0.218  0.111
Y  0.582  0.782  0.611
Y  0.782  0.582  0.111
Y  0.902  0.098  0.000
B  0.303  0.697  0.156
B  0.697  0.303  0.656
Se  0.090  0.607  0.298
Se  0.128  0.198  0.305
Se  0.198  0.128  0.805
Se  0.291  0.709  0.840
Se  0.393  0.910  0.298
Se  0.447  0.553  0.276
Se  0.553  0.447  0.776
Se  0.607  0.090  0.798
Se  0.709  0.291  0.340
Se  0.802  0.872  0.305
Se  0.872  0.802  0.805
Se  0.910  0.393  0.798

Total magnetic moment in μB/f.u.: 0.0
SG: Cmc2_1, No. 36
Raw formation energy in eV per formula unit: -13.93

# 8
An optimized crystal structure of Y2AlAs, computed with PBE-GGA.

Unit cell a=3.718 b=3.718 c=6.699 alpha=90.00 beta=90.00 gamma=90.00
Fractional positions:
Y  0.000  0.000  0.239
Y  0.000  0.000  0.761
Al  0.500  0.500  0.500
As  0.500  0.500  0.000

Excess energy over the best structure of this formula in the dataset in meV per atom: 158
Total magnetic moment in μB/f.u.: 0.0
SG: P4/mmm, No. 123

# 9
An optimized crystal structure of Pu5PaPt5, computed with PBE-GGA.

Unit cell a=7.059 b=7.059 c=8.164 alpha=107.02 beta=107.02 gamma=47.89
Fractional positions:
Pu  0.000  0.000  0.000
Pu  0.331  0.331  0.168
Pu  0.335  0.335  0.669
Pu  0.665  0.665  0.331
Pu  0.669  0.669  0.832
Pa  0.000  0.000  0.500
Pt  0.161  0.161  0.337
Pt  0.163  0.163  0.827
Pt  0.500  0.500  0.500
Pt  0.837  0.837  0.173
Pt  0.839  0.839  0.663

E_tot in eV per atom: -10.735
Total magnetic moment in μB/f.u.: 16.3
SG: C2/m, No. 12

# 10
An optimized crystal structure of K2ErCd2O4, computed with PBE-GGA.

Unit cell a=6.631 b=6.631 c=9.139 alpha=121.27 beta=121.27 gamma=30.19
Fractional positions:
K  0.156  0.156  0.290
K  0.844  0.844  0.710
Er  0.500  0.500  0.500
Cd  0.155  0.155  0.859
Cd  0.845  0.845  0.141
O  0.140  0.140  0.597
O  0.476  0.476  0.231
O  0.524  0.524  0.769
O  0.860  0.860  0.403

Total magnetic moment in μB/f.u.: 0.0
SG: C2/m, No. 12
Raw formation energy in eV per formula unit: -15.52

# 11
An optimized crystal structure of Dy4MgZn2Ag, computed with PBE-GGA.

Unit cell a=8.913 b=8.913 c=8.913 alpha=33.49 beta=33.49 gamma=33.49
Fractional positions:
Dy  0.122  0.122  0.122
Dy  0.373  0.373  0.373
Dy  0.627  0.627  0.627
Dy  0.878  0.878  0.878
Mg  0.500  0.500  0.500
Zn  0.243  0.243  0.243
Zn  0.757  0.757  0.757
Ag  0.000  0.000  0.000

E_tot in eV per atom: -3.437
Total magnetic moment in μB/f.u.: 0.0
SG: R-3m, No. 166

# 12
An optimized crystal structure of KRu2, computed with PBE-GGA.

Unit cell a=12.409 b=12.409 c=4.281 alpha=90.00 beta=90.00 gamma=167.11
Fractional positions:
K  0.164  0.836  0.750
K  0.836  0.164  0.250
Ru  0.058  0.942  0.250
Ru  0.467  0.533  0.250
Ru  0.533  0.467  0.750
Ru  0.942  0.058  0.750

E_tot in eV per atom: -5.999
Total magnetic moment in μB/f.u.: 0.0
SG: Cmcm, No. 63